Record 1
This record from the Alexandria database describes a relaxed structure of Ta2NbMo6. The functional is GGA-PBE.

```
Ta2NbMo6
1.0
-2.646 0.111 -0.711
-2.361 -6.730 0.760
-4.860 0.097 7.048
Ta Nb Mo
2 1 6
direct
0.458 0.001 0.336
0.542 0.999 0.664
0.000 0.000 0.000
0.848 0.341 0.113
0.152 0.659 0.887
0.172 0.660 0.556
0.200 0.660 0.225
0.800 0.340 0.775
0.828 0.340 0.444
```

Summary:
energy of formation from the pure elements = 1.243 kcal/mol of atoms
E above lowest polymorph = 0 meV/atom
electronic total energy = -10.9196 eV per atom
crystal system = triclinic

Record 2
This record from the Alexandria database describes a relaxed structure of PuTlAg2. The functional is GGA-PBE.

```
PuTlAg2
1.0
-1.657 -3.385 1.957
4.323 -2.057 0.104
0.865 2.032 4.248
Tl Ag Pu
1 2 1
direct
0.500 0.000 0.000
0.000 0.000 0.500
0.000 0.500 0.000
0.500 0.500 0.500
```

Summary:
energy of formation from the pure elements = 3.595 kcal/mol of atoms
electronic total energy = -5.4443 eV per atom
crystal system = tetragonal

Record 3
This record from the Alexandria database describes a relaxed structure of Li2Ca5. The functional is GGA-PBE.

```
Li2Ca5
1.0
-1.845 -2.726 -2.017
-0.117 -2.244 3.139
-13.764 9.277 3.743
Li Ca
2 5
direct
0.270 0.270 0.539
0.730 0.730 0.461
0.167 0.167 0.333
0.583 0.583 0.167
0.000 0.000 0.000
0.417 0.417 0.833
0.833 0.833 0.667
```

Summary:
energy of formation from the pure elements = 0.232 kcal/mol of atoms
E above lowest polymorph = 0 meV/atom
electronic total energy = -1.9665 eV per atom
crystal system = tetragonal

Record 4
This record from the Alexandria database describes a relaxed structure of LaZrP. The functional is GGA-PBE.

```
LaZrP
1.0
-1.811 1.811 5.514
1.811 -1.811 5.514
1.811 1.811 -5.514
La Zr P
1 1 1
direct
0.002 0.002 0.000
0.715 0.715 0.000
0.283 0.283 0.000
```

Summary:
energy of formation from the pure elements = -16.945 kcal/mol of atoms
E above lowest polymorph = 66 meV/atom
electronic total energy = -7.0299 eV per atom
crystal system = tetragonal

Record 5
This record from the Alexandria database describes a relaxed structure of Cs3Na9In2. The functional is GGA-PBE.

```
Cs3Na9In2
1.0
-4.416 -1.866 10.160
-9.559 5.730 -1.416
6.467 -8.941 -2.107
Cs Na In
3 9 2
direct
0.000 0.000 0.000
0.314 0.314 0.000
0.686 0.686 0.000
0.500 0.000 0.500
0.000 0.325 0.675
0.000 0.675 0.325
0.650 0.325 0.325
0.350 0.675 0.675
0.823 0.105 0.717
0.177 0.895 0.283
0.388 0.105 0.283
0.612 0.895 0.717
0.305 0.500 0.805
0.695 0.500 0.195
```

Summary:
energy of formation from the pure elements = 0.243 kcal/mol of atoms
electronic total energy = -1.4115 eV per atom
crystal system = orthorhombic

Record 6
This record from the Alexandria database describes a relaxed structure of TlPt3O6. The functional is GGA-PBE.

```
TlPt3O6
1.0
3.440 0.000 0.000
0.000 5.938 -2.057
0.000 -0.085 6.284
Tl Pt O
1 3 6
direct
0.000 0.500 0.500
0.500 0.500 0.000
0.000 0.000 0.000
0.500 0.000 0.500
0.000 0.070 0.335
0.000 0.930 0.665
0.000 0.335 0.070
0.000 0.665 0.930
0.500 0.662 0.338
0.500 0.338 0.662
```

Summary:
electronic total energy = -5.5734 eV per atom
E_form (uncorrected) = -0.550 eV/atom
crystal system = orthorhombic

Record 7
This record from the Alexandria database describes a relaxed structure of MgBeH3. The functional is GGA-PBE.

```
MgBeH3
1.0
3.621 0.000 0.000
0.000 3.621 0.000
0.000 0.000 3.621
Be Mg H
1 1 3
direct
0.500 0.500 0.500
0.000 0.000 0.000
0.000 0.500 0.000
0.000 0.000 0.500
0.500 0.000 0.000
```

Summary:
E above lowest polymorph = 669 meV/atom
electronic total energy = -2.4180 eV per atom
crystal system = cubic

Record 8
This record from the Alexandria database describes a relaxed structure of ZnPb2Cl6. The functional is GGA-PBE.

```
ZnPb2Cl6
1.0
6.520 0.000 0.000
0.000 6.520 0.000
0.000 0.000 12.511
Zn Pb Cl
2 4 12
direct
0.500 0.500 0.000
0.000 0.000 0.500
0.500 0.500 0.335
0.500 0.500 0.665
0.000 0.000 0.165
0.000 0.000 0.835
0.684 0.684 0.145
0.684 0.684 0.855
0.722 0.722 0.500
0.778 0.222 0.000
0.816 0.184 0.355
0.816 0.184 0.645
0.184 0.816 0.355
0.184 0.816 0.645
0.222 0.778 0.000
0.278 0.278 0.500
0.316 0.316 0.145
0.316 0.316 0.855
```

Summary:
E above lowest polymorph = 33 meV/atom
electronic total energy = -3.2860 eV per atom
E_form (uncorrected) = -1.089 eV/atom
crystal system = tetragonal

Record 9
This record from the Alexandria database describes a relaxed structure of NaCaTb2Se4. The functional is GGA-PBE.

```
NaCaTb2Se4
1.0
4.127 0.000 0.000
0.000 7.292 -0.204
0.000 2.507 6.688
Na Ca Tb Se
1 1 2 4
direct
0.000 0.500 0.500
0.500 0.500 0.000
0.000 0.000 0.000
0.500 0.000 0.500
0.000 0.756 0.748
0.000 0.244 0.252
0.500 0.760 0.245
0.500 0.240 0.755
```

Summary:
electronic total energy = -5.1156 eV per atom
E_form (uncorrected) = -1.801 eV/atom
crystal system = monoclinic

Record 10
This record from the Alexandria database describes a relaxed structure of Li5In12Pd3. The functional is GGA-PBE.

```
Li5In12Pd3
1.0
-8.999 -10.712 -0.726
11.141 -2.707 -8.050
4.138 1.731 13.272
Pd Li In
12 20 48
direct
0.750 0.375 0.125
0.875 0.750 0.125
0.375 0.750 0.625
0.250 0.125 0.375
0.875 0.125 0.250
0.375 0.625 0.250
0.625 0.375 0.750
0.125 0.875 0.750
0.750 0.875 0.625
0.625 0.250 0.375
0.125 0.250 0.875
0.250 0.625 0.875
0.125 0.375 0.250
0.000 0.500 0.000
0.000 0.000 0.000
0.375 0.250 0.125
0.500 0.000 0.500
0.500 0.500 0.000
0.125 0.750 0.375
0.750 0.125 0.875
0.750 0.625 0.375
0.375 0.125 0.750
0.625 0.875 0.250
0.500 0.500 0.500
0.500 0.000 0.000
0.000 0.000 0.500
0.250 0.375 0.625
0.250 0.875 0.125
0.000 0.500 0.500
0.875 0.250 0.625
0.625 0.750 0.875
0.875 0.625 0.750
0.729 0.138 0.067
0.338 0.567 0.429
0.933 0.362 0.271
0.567 0.229 0.138
0.591 0.729 0.662
0.933 0.571 0.162
0.338 0.771 0.409
0.071 0.909 0.138
0.571 0.933 0.662
0.729 0.591 0.162
0.771 0.433 0.362
0.838 0.929 0.067
0.138 0.729 0.567
0.362 0.429 0.091
0.091 0.929 0.362
0.409 0.138 0.571
0.091 0.162 0.229
0.433 0.662 0.071
0.838 0.909 0.271
0.138 0.409 0.071
0.362 0.933 0.771
0.571 0.638 0.409
0.929 0.838 0.567
0.771 0.338 0.909
0.429 0.362 0.591
0.071 0.162 0.433
0.229 0.662 0.091
0.162 0.091 0.729
0.638 0.067 0.229
0.862 0.591 0.929
0.567 0.338 0.929
0.591 0.862 0.429
0.909 0.838 0.771
0.909 0.071 0.638
0.862 0.271 0.433
0.162 0.071 0.933
0.638 0.571 0.909
0.429 0.067 0.338
0.271 0.409 0.838
0.229 0.567 0.638
0.929 0.091 0.862
0.662 0.229 0.591
0.433 0.771 0.862
0.067 0.429 0.838
0.409 0.271 0.338
0.067 0.638 0.729
0.662 0.433 0.571
0.271 0.862 0.933
```

Summary:
energy of formation from the pure elements = 0.993 kcal/mol of atoms
electronic total energy = -2.8574 eV per atom
crystal system = cubic

Record 11
This record from the Alexandria database describes a relaxed structure of TiCu2Bi. The functional is GGA-PBE.

```
TiCu2Bi
1.0
-3.752 -6.058 1.700
1.736 -2.899 -6.500
1.276 -5.584 -1.297
Bi Cu Ti
2 4 2
direct
0.000 0.000 0.000
0.750 0.250 0.500
0.613 0.125 0.250
0.137 0.625 0.250
0.375 0.387 0.750
0.875 0.863 0.750
0.500 0.500 0.000
0.250 0.750 0.500
```

Summary:
energy of formation from the pure elements = 7.454 kcal/mol of atoms
electronic total energy = -4.6688 eV per atom
crystal system = tetragonal

Record 12
This record from the Alexandria database describes a relaxed structure of Ni4PtSe8. The functional is GGA-PBE.

```
Ni4PtSe8
1.0
7.058 -0.025 -1.669
-4.109 5.777 -1.531
-0.406 -0.724 6.453
Ni Pt Se
4 1 8
direct
0.234 0.234 0.000
0.766 0.766 0.000
0.252 0.764 0.016
0.748 0.236 0.984
0.000 0.500 0.500
0.699 0.026 0.235
0.209 0.535 0.235
0.688 0.524 0.212
0.206 0.036 0.242
0.794 0.964 0.758
0.312 0.476 0.788
0.791 0.465 0.765
0.301 0.974 0.765
```

Summary:
electronic total energy = -4.6408 eV per atom
E_form (uncorrected) = -0.253 eV/atom
crystal system = monoclinic

Record 13
This record from the Alexandria database describes a relaxed structure of Be3In. The functional is GGA-PBE.

```
Be3In
1.0
3.910 0.000 0.000
0.000 3.061 0.028
0.000 -0.957 4.563
Be In
3 1
direct
0.000 0.029 0.926
0.500 0.750 0.750
0.000 0.471 0.574
0.500 0.250 0.250
```

Summary:
energy of formation from the pure elements = 11.765 kcal/mol of atoms
E above lowest polymorph = 278 meV/atom
electronic total energy = -2.9691 eV per atom
crystal system = monoclinic

Record 14
This record from the Alexandria database describes a relaxed structure of LiCe2NdN4. The functional is GGA-PBE.

```
LiCe2NdN4
1.0
3.557 0.000 0.000
-1.778 5.754 0.000
0.000 0.000 11.525
Li Ce Nd N
2 4 2 8
direct
0.842 0.683 0.750
0.158 0.317 0.250
0.369 0.737 0.559
0.631 0.263 0.059
0.631 0.263 0.441
0.369 0.737 0.941
0.105 0.209 0.750
0.895 0.791 0.250
0.262 0.524 0.113
0.738 0.476 0.613
0.738 0.476 0.887
0.262 0.524 0.387
0.000 0.000 0.500
0.000 0.000 0.000
0.452 0.905 0.750
0.548 0.095 0.250
```

Summary:
electronic total energy = -7.7205 eV per atom
E_form (uncorrected) = -1.239 eV/atom
crystal system = orthorhombic

Record 15
This record from the Alexandria database describes a relaxed structure of CaTm5S6. The functional is GGA-PBE.

```
CaTm5S6
1.0
6.627 0.153 1.002
1.621 5.596 3.262
0.109 0.052 6.690
Ca Tm S
1 5 6
direct
0.000 0.000 0.000
0.500 0.165 0.671
0.000 0.333 0.335
0.500 0.500 0.000
0.000 0.667 0.665
0.500 0.835 0.329
0.746 0.085 0.337
0.254 0.579 0.337
0.250 0.253 0.000
0.750 0.747 0.000
0.746 0.421 0.663
0.254 0.915 0.663
```

Summary:
electronic total energy = -6.0502 eV per atom
E_form (uncorrected) = -1.957 eV/atom
crystal system = monoclinic

Record 16
This record from the Alexandria database describes a relaxed structure of Cu2SiSeI. The functional is GGA-PBE.

```
Cu2SiSeI
1.0
4.791 0.000 0.000
0.000 5.751 0.000
0.000 0.000 4.791
I Si Cu Se
1 1 2 1
direct
0.000 0.000 0.000
0.000 0.500 0.000
0.000 0.000 0.500
0.500 0.000 0.000
0.500 0.500 0.500
```

Summary:
electronic total energy = -2.6684 eV per atom
E_form (uncorrected) = 1.062 eV/atom
crystal system = tetragonal

Record 17
This record from the Alexandria database describes a relaxed structure of KZn2P. The functional is GGA-PBE.

```
KZn2P
1.0
3.960 -0.821 0.306
2.681 3.028 0.306
1.621 0.539 7.299
K P Zn
1 1 2
direct
0.511 0.511 0.469
0.292 0.292 0.123
0.974 0.974 0.078
0.723 0.723 0.830
```

Summary:
energy of formation from the pure elements = -2.717 kcal/mol of atoms
electronic total energy = -2.3816 eV per atom
crystal system = trigonal

Record 18
This record from the Alexandria database describes a relaxed structure of ScAgOs2. The functional is GGA-PBE.

```
ScAgOs2
1.0
-0.889 0.518 -4.669
0.477 -4.388 -1.838
-2.622 1.426 3.735
Ag Os Sc
1 2 1
direct
0.750 0.250 0.500
0.000 0.000 0.000
0.250 0.750 0.500
0.500 0.500 0.000
```

Summary:
energy of formation from the pure elements = 5.633 kcal/mol of atoms
E above lowest polymorph = 171 meV/atom
electronic total energy = -7.6663 eV per atom
crystal system = tetragonal

Record 19
This record from the Alexandria database describes a relaxed structure of PmScGaSn. The functional is GGA-PBE.

```
PmScGaSn
1.0
-4.078 2.141 2.310
-2.493 -2.557 3.714
0.345 1.578 4.892
Sc Sn Ga Pm
1 1 1 1
direct
0.750 0.750 0.750
0.500 0.500 0.500
0.000 0.000 0.000
0.250 0.250 0.250
```

Summary:
energy of formation from the pure elements = -11.563 kcal/mol of atoms
electronic total energy = -5.0294 eV per atom
crystal system = cubic

Total moment: 0.000; 6.059; 0.000; 0.000; 0.000; 0.000; 0.000; 0.000; 0.000; 0.000; 0.000; 0.000; 0.000; 0.000; 0.000; 0.000; 0.000; 0.000; 0.000 (μB per cell)